A | Material: Li2V3SnO8
Method: DFT, PBEsol
State: relaxed

Cell: 5.970 5.716 8.263 Å, 90.00 93.30 90.00°
Sites, in units of the cell vectors:
Sn: 0.257 0.753 0.870
Sn: 0.757 0.247 0.370
O: 0.768 0.016 0.985
O: 0.526 0.749 0.737
O: 0.736 0.979 0.519
O: 0.023 0.751 0.253
O: 0.008 0.236 0.748
O: 0.752 0.486 0.991
O: 0.508 0.764 0.248
O: 0.731 0.517 0.518
O: 0.026 0.251 0.237
O: 0.963 0.744 0.748
O: 0.523 0.249 0.753
O: 0.236 0.021 0.019
O: 0.268 0.984 0.485
O: 0.252 0.514 0.491
O: 0.231 0.483 0.018
O: 0.463 0.256 0.248
V: 0.755 0.033 0.760
V: 0.260 0.539 0.268
V: 0.255 0.967 0.260
V: 0.473 0.740 0.478
V: 0.760 0.461 0.768
V: 0.973 0.260 0.978
Li: 0.260 0.246 0.620
Li: 0.760 0.754 0.120
Li: 0.987 0.747 0.506
Li: 0.487 0.253 0.006

B | Material: Li2V3SnO8
Method: DFT, PBEsol
State: relaxed

Cell: 8.423 8.419 8.428 Å, 90.00 90.00 90.00°
Sites, in units of the cell vectors:
Li: 0.388 0.888 0.612
Li: 0.888 0.612 0.388
Li: 0.512 0.512 0.512
Li: 0.488 0.012 0.988
Li: 0.988 0.488 0.012
Li: 0.012 0.988 0.488
Li: 0.112 0.112 0.112
Li: 0.612 0.388 0.888
O: 0.365 0.619 0.665
O: 0.588 0.422 0.135
O: 0.132 0.368 0.632
O: 0.135 0.381 0.165
O: 0.120 0.620 0.880
O: 0.922 0.365 0.412
O: 0.636 0.912 0.578
O: 0.865 0.881 0.335
O: 0.835 0.635 0.119
O: 0.088 0.078 0.865
O: 0.368 0.632 0.132
O: 0.868 0.868 0.868
O: 0.912 0.578 0.635
O: 0.665 0.365 0.619
O: 0.620 0.665 0.365
O: 0.364 0.412 0.922
O: 0.880 0.120 0.620
O: 0.620 0.880 0.120
O: 0.632 0.132 0.368
O: 0.335 0.865 0.881
O: 0.864 0.088 0.078
O: 0.120 0.835 0.635
O: 0.635 0.119 0.835
O: 0.422 0.135 0.588
O: 0.165 0.135 0.381
O: 0.880 0.335 0.865
O: 0.380 0.380 0.380
O: 0.578 0.635 0.912
O: 0.078 0.865 0.088
O: 0.380 0.165 0.135
O: 0.136 0.588 0.422
O: 0.412 0.922 0.365
V: 0.882 0.350 0.636
V: 0.382 0.150 0.364
V: 0.364 0.382 0.150
V: 0.864 0.118 0.850
V: 0.850 0.864 0.118
V: 0.636 0.882 0.350
V: 0.650 0.136 0.618
V: 0.618 0.650 0.136
V: 0.118 0.850 0.864
V: 0.350 0.636 0.882
V: 0.136 0.618 0.650
V: 0.150 0.364 0.382
Sn: 0.775 0.275 0.225
Sn: 0.725 0.725 0.725
Sn: 0.225 0.775 0.275
Sn: 0.275 0.225 0.775

Name the most stable of them. A.

A | Material: Li2V3SnO8
Method: DFT, PBEsol
State: relaxed

Cell: 8.360 8.360 8.360 Å, 90.00 90.00 90.00°
Sites, in units of the cell vectors:
O: 0.027 0.127 0.388
O: 0.999 0.624 0.874
O: 0.223 0.627 0.112
O: 0.998 0.099 0.862
O: 0.763 0.877 0.849
O: 0.498 0.901 0.138
O: 0.263 0.123 0.151
O: 0.487 0.377 0.651
O: 0.473 0.612 0.873
O: 0.248 0.362 0.401
O: 0.749 0.626 0.124
O: 0.777 0.112 0.627
O: 0.277 0.888 0.373
O: 0.252 0.599 0.638
O: 0.751 0.876 0.374
O: 0.973 0.388 0.127
O: 0.723 0.373 0.888
O: 0.513 0.651 0.377
O: 0.527 0.873 0.612
O: 0.499 0.376 0.126
O: 0.237 0.849 0.877
O: 0.752 0.401 0.362
O: 0.001 0.874 0.624
O: 0.987 0.623 0.349
O: 0.748 0.638 0.599
O: 0.737 0.151 0.123
O: 0.002 0.862 0.099
O: 0.502 0.138 0.901
O: 0.251 0.124 0.626
O: 0.249 0.374 0.876
O: 0.013 0.349 0.623
O: 0.501 0.126 0.376
V: 0.750 0.642 0.358
V: 0.767 0.875 0.608
V: 0.017 0.108 0.625
V: 0.500 0.142 0.142
V: 0.233 0.608 0.875
V: 0.733 0.392 0.125
V: 0.250 0.358 0.642
V: 0.483 0.375 0.892
V: 0.983 0.625 0.108
V: 0.267 0.125 0.392
V: 0.517 0.892 0.375
V: 0.000 0.858 0.858
Li: 0.867 0.492 0.742
Li: 0.367 0.508 0.258
Li: 0.633 0.258 0.508
Li: 0.883 0.008 0.242
Li: 0.617 0.758 0.992
Li: 0.383 0.992 0.758
Li: 0.117 0.242 0.008
Li: 0.133 0.742 0.492
Sn: 0.750 0.125 0.875
Sn: 0.000 0.375 0.375
Sn: 0.500 0.625 0.625
Sn: 0.250 0.875 0.125

B | Material: Li2V3SnO8
Method: DFT, PBEsol
State: relaxed

Cell: 5.715 5.715 5.966 Å, 61.38 61.38 60.00°
Sites, in units of the cell vectors:
O: 0.276 0.747 0.229
O: 0.747 0.747 0.229
O: 0.747 0.276 0.229
O: 0.251 0.251 0.785
O: 0.753 0.753 0.740
O: 0.712 0.251 0.785
O: 0.263 0.263 0.211
O: 0.251 0.712 0.785
Sn: 0.129 0.129 0.612
Li: 0.494 0.494 0.518
Li: 0.880 0.880 0.360
V: 0.951 0.522 0.006
V: 0.522 0.951 0.006
V: 0.522 0.522 0.006

C | Material: Li2V3SnO8
Method: DFT, PBEsol
State: relaxed

Cell: 5.717 5.964 10.055 Å, 71.30 73.48 61.36°
Sites, in units of the cell vectors:
O: 0.145 0.611 0.129
O: 0.626 0.594 0.124
O: 0.115 0.141 0.145
O: 0.657 0.094 0.624
O: 0.835 0.411 0.873
O: 0.644 0.118 0.122
O: 0.373 0.410 0.875
O: 0.897 0.343 0.368
O: 0.600 0.641 0.645
O: 0.391 0.843 0.868
O: 0.884 0.867 0.862
O: 0.116 0.618 0.622
O: 0.116 0.111 0.629
O: 0.387 0.367 0.362
O: 0.881 0.911 0.373
O: 0.342 0.910 0.375
V: 0.285 0.272 0.236
V: 0.487 0.481 0.024
V: 0.780 0.763 0.742
V: 0.008 0.981 0.524
V: 0.207 0.772 0.736
V: 0.715 0.263 0.242
Sn: 0.188 0.177 0.936
Sn: 0.699 0.677 0.436
Li: 0.817 0.800 0.060
Li: 0.323 0.300 0.560
Li: 0.737 0.265 0.753
Li: 0.245 0.765 0.253

D | Material: Li2V3SnO8
Method: DFT, PBEsol
State: relaxed

Cell: 5.777 5.777 6.094 Å, 61.71 61.71 60.00°
Sites, in units of the cell vectors:
V: 0.500 0.000 0.000
V: 0.000 0.500 0.000
V: 0.500 0.500 0.000
O: 0.721 0.254 0.771
O: 0.254 0.721 0.771
O: 0.746 0.279 0.229
O: 0.254 0.254 0.771
O: 0.264 0.264 0.208
O: 0.746 0.746 0.229
O: 0.736 0.736 0.792
O: 0.279 0.746 0.229
Li: 0.875 0.875 0.374
Li: 0.125 0.125 0.626
Sn: 0.500 0.500 0.500

Name the most stable of them. C.

A | Material: LiVTeO5
Method: DFT, PBEsol
State: relaxed

Cell: 4.869 8.703 11.380 Å, 90.00 90.00 90.00°
Sites, in units of the cell vectors:
O: 0.667 0.549 0.381
O: 0.686 0.340 0.574
O: 0.682 0.030 0.505
O: 0.333 0.049 0.119
O: 0.721 0.978 0.773
O: 0.269 0.761 0.384
O: 0.769 0.739 0.616
O: 0.221 0.522 0.227
O: 0.314 0.840 0.926
O: 0.731 0.261 0.116
O: 0.182 0.470 0.495
O: 0.833 0.451 0.881
O: 0.814 0.660 0.074
O: 0.167 0.951 0.619
O: 0.779 0.022 0.273
O: 0.186 0.160 0.426
O: 0.279 0.478 0.727
O: 0.818 0.970 0.005
O: 0.318 0.530 0.995
O: 0.231 0.239 0.884
V: 0.165 0.423 0.872
V: 0.665 0.077 0.128
V: 0.335 0.577 0.372
V: 0.835 0.923 0.628
Te: 0.686 0.818 0.892
Te: 0.814 0.182 0.392
Te: 0.314 0.318 0.608
Te: 0.186 0.682 0.108
Li: 0.177 0.051 0.961
Li: 0.323 0.949 0.461
Li: 0.823 0.551 0.539
Li: 0.677 0.449 0.039

B | Material: LiVTeO5
Method: DFT, PBEsol
State: relaxed

Cell: 5.927 9.003 7.562 Å, 90.00 90.00 90.00°
Sites, in units of the cell vectors:
O: 0.750 0.585 0.343
O: 0.482 0.182 0.822
O: 0.982 0.818 0.178
O: 0.750 0.119 0.137
O: 0.250 0.601 0.967
O: 0.750 0.915 0.843
O: 0.250 0.415 0.657
O: 0.518 0.818 0.178
O: 0.250 0.619 0.363
O: 0.982 0.682 0.678
O: 0.518 0.682 0.678
O: 0.018 0.318 0.322
O: 0.018 0.182 0.822
O: 0.250 0.899 0.467
O: 0.250 0.085 0.157
O: 0.750 0.101 0.533
O: 0.750 0.381 0.637
O: 0.750 0.399 0.033
O: 0.250 0.881 0.863
O: 0.482 0.318 0.322
Te: 0.250 0.329 0.879
Te: 0.250 0.171 0.379
Te: 0.750 0.671 0.121
Te: 0.750 0.829 0.621
V: 0.250 0.789 0.289
V: 0.250 0.711 0.789
V: 0.750 0.211 0.711
V: 0.750 0.289 0.211
Li: 0.000 0.500 0.500
Li: 0.000 0.000 0.000
Li: 0.500 0.000 0.000
Li: 0.500 0.500 0.500

Name the most stable of them. B.

A | Material: Li3Ti4O8
Method: DFT, PBEsol
State: relaxed

Cell: 2.871 5.073 9.673 Å, 90.99 90.00 90.00°
Sites, in units of the cell vectors:
Ti: 0.000 0.071 0.858
Ti: 0.500 0.560 0.633
Ti: 0.000 0.439 0.372
Ti: 0.500 0.930 0.135
O: 0.500 0.622 0.257
O: 0.000 0.126 0.241
O: 0.500 0.865 0.766
O: 0.000 0.391 0.754
O: 0.000 0.766 0.011
O: 0.500 0.227 0.992
O: 0.500 0.284 0.487
O: 0.000 0.731 0.512
Li: 0.500 0.576 0.901
Li: 0.000 0.419 0.100
Li: 0.500 0.934 0.432

B | Material: Li3Ti4O8
Method: DFT, PBEsol
State: relaxed

Cell: 5.018 5.652 9.538 Å, 90.00 90.00 90.32°
Sites, in units of the cell vectors:
Ti: 0.392 0.368 0.129
Ti: 0.909 0.634 0.120
Ti: 0.086 0.871 0.872
Ti: 0.608 0.632 0.629
Ti: 0.914 0.129 0.372
Ti: 0.091 0.366 0.620
Ti: 0.385 0.878 0.381
Ti: 0.615 0.122 0.881
O: 0.565 0.625 0.244
O: 0.447 0.874 0.759
O: 0.248 0.127 0.498
O: 0.732 0.877 0.492
O: 0.435 0.375 0.744
O: 0.752 0.873 0.998
O: 0.263 0.619 0.506
O: 0.070 0.858 0.255
O: 0.247 0.621 0.002
O: 0.930 0.142 0.755
O: 0.553 0.126 0.259
O: 0.268 0.123 0.992
O: 0.753 0.379 0.502
O: 0.928 0.625 0.753
O: 0.737 0.381 0.006
O: 0.072 0.375 0.253
Li: 0.425 0.881 0.115
Li: 0.430 0.381 0.390
Li: 0.575 0.119 0.615
Li: 0.570 0.619 0.890
Li: 0.916 0.626 0.389
Li: 0.084 0.374 0.889

C | Material: Li3Ti4O8
Method: DFT, PBEsol
State: relaxed

Cell: 5.849 5.849 5.893 Å, 60.25 60.25 60.00°
Sites, in units of the cell vectors:
O: 0.762 0.224 0.253
O: 0.762 0.762 0.253
O: 0.245 0.245 0.264
O: 0.224 0.762 0.253
O: 0.755 0.755 0.736
O: 0.238 0.238 0.747
O: 0.776 0.238 0.747
O: 0.238 0.776 0.747
Ti: 0.000 0.500 0.500
Ti: 0.000 0.000 0.000
Ti: 0.500 0.000 0.500
Ti: 0.000 0.000 0.500
Li: 0.500 0.500 0.000
Li: 0.500 0.000 0.000
Li: 0.000 0.500 0.000

Name the most stable of them. C.